A relaxed structure of SrTa2TlFe. Source: Alexandria via LeMat-Bulk, functional GGA-PBE.

Geometry as POSCAR:
```
SrTa2TlFe
1.0
5.083 0.000 0.000
0.000 4.439 0.000
0.000 0.000 5.083
Ta Sr Tl Fe
2 1 1 1
direct
0.500 0.000 0.000
0.000 0.000 0.500
0.000 0.000 0.000
0.500 0.500 0.500
0.000 0.500 0.000
```

## Properties
Total magnetization, μB/f.u.: 0.00
Total DFT energy (no corrections), eV per atom: -4.53
D(E_F), states/eV/cell: 9.22
Formation energy, eV per atom: 2.71

=====

A relaxed structure of Cl. Source: Alexandria via LeMat-Bulk, functional GGA-PBE.

Geometry as POSCAR:
```
Cl
1.0
9.093 0.000 0.000
0.000 9.093 0.000
0.000 0.000 4.400
Cl
8
direct
0.775 0.775 0.000
0.775 0.225 0.000
0.725 0.275 0.500
0.225 0.225 0.000
0.725 0.725 0.500
0.225 0.775 0.000
0.275 0.725 0.500
0.275 0.275 0.500
```

## Properties
Total magnetization, μB/f.u.: 0.00
Total DFT energy (no corrections), eV per atom: -1.71
D(E_F), states/eV/cell: 6.97
E_form (uncorrected), eV per atom: 0.135
Energy above the most stable polymorph in this dataset, meV/atom: 135

=====

A relaxed structure of FeAu2Se. Source: Alexandria via LeMat-Bulk, functional GGA-PBE.

Geometry as POSCAR:
```
FeAu2Se
1.0
10.363 0.073 0.043
9.949 2.902 0.043
9.949 1.457 2.510
Au Se Fe
2 1 1
direct
0.512 0.512 0.512
0.988 0.988 0.988
0.750 0.750 0.750
0.250 0.250 0.250
```

## Properties
Total magnetization, μB/f.u.: 3.02
Total DFT energy (no corrections), eV per atom: -4.32
D(E_F), states/eV/cell: 2.63
E_form (uncorrected), eV per atom: 0.303

=====

A relaxed structure of LaCo2Ag2. Source: Alexandria via LeMat-Bulk, functional GGA-PBE.

Geometry as POSCAR:
```
LaCo2Ag2
1.0
-1.743 -3.661 0.617
3.711 -1.736 0.185
1.116 -1.819 5.992
Co Ag La
2 2 1
direct
0.595 0.595 0.811
0.405 0.405 0.189
0.750 0.250 0.500
0.250 0.750 0.500
0.000 0.000 0.000
```

## Properties
Total magnetization, μB/f.u.: 2.32
Total DFT energy (no corrections), eV per atom: -4.90
D(E_F), states/eV/cell: 12.68
Formation energy, eV per atom: 0.07
Energy above the most stable polymorph in this dataset, meV/atom: 0